A crystal of TaTcRu2 relaxed with PBEsol. Source: Alexandria via LeMat-Bulk, functional meta-GGA SCAN.

Its space-group type is P4/mmm, No. 123. Its energy is -42.782 eV/atom. As for the excess energy over the best structure of this formula in the dataset: 0 meV per atom. For the energy of formation from the pure elements, the calculation gives 0.04 eV per atom.

a b c (Å): 3.2274 3.2274 5.6392
angles (deg): 90.00 90.00 90.00
Closest atoms and distances in Å follow each position.
Element x y z (fractional)
1 Ta 0.0000 0.0000 0.0000  8 Ru 2.71, 2 Tc 2.82
2 Tc 0.0000 0.0000 0.5000  8 Ru 2.66, 2 Ta 2.82
3 Ru 0.5000 0.5000 0.2577  4 Tc 2.66, 4 Ta 2.71, 2 Ru 2.73-2.91
4 Ru 0.5000 0.5000 0.7423  4 Tc 2.66, 4 Ta 2.71, 2 Ru 2.73-2.91



A crystal of BaSiO3 relaxed with PBEsol. Source: Alexandria via LeMat-Bulk, functional meta-GGA SCAN.

Its space-group type is P2_1/c, No. 14. Its energy is -16.872 eV/atom. As for the uncorrected formation energy: -3.2196 eV per atom.

a b c (Å): 7.8315 6.2882 14.2005
angles (deg): 90.00 118.30 90.00
Closest atoms and distances in Å follow each position.
Element x y z (fractional)
1 Ba 0.2117 0.0981 0.1245  7 O 2.62-2.90
2 Ba 0.2117 0.4019 0.6245  7 O 2.62-2.90
3 Ba 0.2559 0.5943 0.3339  6 O 2.63-2.85
4 Ba 0.2559 0.9057 0.8339  6 O 2.63-2.85
5 Ba 0.7441 0.0943 0.1661  6 O 2.63-2.85
6 Ba 0.7441 0.4057 0.6661  6 O 2.63-2.85
7 Ba 0.7883 0.5981 0.3755  7 O 2.62-2.90
8 Ba 0.7883 0.9019 0.8755  7 O 2.62-2.90
9 Si 0.1686 0.0871 0.4093  4 O 1.61-1.70
10 Si 0.1686 0.4129 0.9093  4 O 1.61-1.70
11 Si 0.4533 0.6489 0.1125  4 O 1.61-1.70
12 Si 0.4533 0.8511 0.6125  4 O 1.61-1.70
13 Si 0.5467 0.1489 0.3875  4 O 1.61-1.70
14 Si 0.5467 0.3511 0.8875  4 O 1.61-1.70
15 Si 0.8314 0.5871 0.0907  4 O 1.61-1.70
16 Si 0.8314 0.9129 0.5907  4 O 1.61-1.70
17 O 0.0243 0.6112 0.8559  1 Si 1.61
18 O 0.0243 0.8888 0.3559  1 Si 1.61
19 O 0.0662 0.1848 0.8987  1 Si 1.62
20 O 0.0662 0.3152 0.3987  1 Si 1.62
21 O 0.3110 0.0897 0.3485  2 Si 1.70
22 O 0.3110 0.4103 0.8485  2 Si 1.70
23 O 0.3264 0.0579 0.5394  2 Si 1.67-1.68
24 O 0.3264 0.4421 0.0394  2 Si 1.67-1.68
25 O 0.3988 0.6339 0.5450  1 Si 1.61
26 O 0.3988 0.8661 0.0450  1 Si 1.61
27 O 0.4363 0.6689 0.2209  1 Si 1.61
28 O 0.4363 0.8311 0.7209  1 Si 1.61
29 O 0.5637 0.1689 0.2791  1 Si 1.61
30 O 0.5637 0.3311 0.7791  1 Si 1.61
31 O 0.6012 0.1339 0.9550  1 Si 1.61
32 O 0.6012 0.3661 0.4550  1 Si 1.61
33 O 0.6736 0.5579 0.9606  2 Si 1.67-1.68
34 O 0.6736 0.9421 0.4606  2 Si 1.67-1.68
35 O 0.6890 0.5897 0.1515  2 Si 1.70
36 O 0.6890 0.9103 0.6515  2 Si 1.70
37 O 0.9338 0.6848 0.6013  1 Si 1.62
38 O 0.9338 0.8152 0.1013  1 Si 1.62
39 O 0.9757 0.1112 0.6441  1 Si 1.61
40 O 0.9757 0.3888 0.1441  1 Si 1.61



A crystal of CsNaLi3 relaxed with PBEsol. Source: Alexandria via LeMat-Bulk, functional meta-GGA SCAN.

Its space-group type is Pm-3m, No. 221. Its energy is -9.564 eV/atom. As for the excess energy over the best structure of this formula in the dataset: 0 meV per atom. For the energy of formation from the pure elements, the calculation gives 0.28 eV per atom.

a b c (Å): 5.9727 5.9727 5.9727
angles (deg): 90.00 90.00 90.00
Closest atoms and distances in Å follow each position.
Element x y z (fractional)
1 Cs 0.0000 0.0000 0.0000  12 Li 4.22
2 Na 0.5000 0.5000 0.5000  6 Li 2.99
3 Li 0.0000 0.5000 0.5000  2 Na 2.99
4 Li 0.5000 0.0000 0.5000  2 Na 2.99
5 Li 0.5000 0.5000 0.0000  2 Na 2.99



A crystal of FeMoRhBr2 relaxed with PBEsol. Source: Alexandria via LeMat-Bulk, functional meta-GGA SCAN.

Its space-group type is P4/mmm, No. 123. Its energy is -24.092 eV/atom. As for the uncorrected formation energy: 1.0493 eV per atom.

a b c (Å): 4.8406 4.8406 4.7668
angles (deg): 90.00 90.00 90.00
Closest atoms and distances in Å follow each position.
Element x y z (fractional)
1 Fe 0.0000 0.0000 0.0000  8 Br 3.40, 4 Rh 3.42
2 Mo 0.5000 0.5000 0.5000  2 Rh 2.38, 4 Br 2.42
3 Rh 0.5000 0.5000 0.0000  2 Mo 2.38
4 Br 0.0000 0.5000 0.5000  2 Mo 2.42
5 Br 0.5000 0.0000 0.5000  2 Mo 2.42